(1)
Computed, not measured: crystalline PuMnInCo at its relaxed geometry at the PBE level of DFT.

```
data_PuMnInCo
_space_group_name_H-M_alt 'F -4 3 m'
_space_group_IT_number 216
_space_group_name_Hall 'F -4 2 3'
_cell_length_a 6.533
_cell_length_b 6.533
_cell_length_c 6.533
_cell_angle_alpha 90.00
_cell_angle_beta 90.00
_cell_angle_gamma 90.00
loop_
_atom_site_label
_atom_site_fract_x
_atom_site_fract_y
_atom_site_fract_z
Pu1 0.000 0.000 0.000
Mn1 0.250 0.250 0.250
In1 0.000 0.000 0.500
Co1 0.250 0.250 0.750
```

Calculated values
crystal system	cubic
DFT formation energy	0.0	eV per formula unit
DOS at the Fermi energy	1.64	states/eV/atom


(2)
Computed, not measured: crystalline K2AlP at its relaxed geometry at the PBE level of DFT.

```
data_K2AlP
_space_group_name_H-M_alt 'C 1 2/m 1'
_space_group_IT_number 12
_space_group_name_Hall '-C 2y'
_cell_length_a 10.841
_cell_length_b 3.156
_cell_length_c 6.778
_cell_angle_alpha 90.00
_cell_angle_beta 96.01
_cell_angle_gamma 90.00
loop_
_atom_site_label
_atom_site_fract_x
_atom_site_fract_y
_atom_site_fract_z
K1 0.239 0.000 0.222
Al1 0.000 0.000 0.500
P1 0.000 0.500 0.000
```

Calculated values
crystal system	monoclinic
DFT formation energy	1.7	eV per formula unit
DOS at the Fermi energy	0.97	states/eV/atom


(3)
Computed, not measured: crystalline Pr2Dy2Sc3 at its relaxed geometry at the PBE level of DFT.

```
data_Pr2Dy2Sc3
_space_group_name_H-M_alt 'I 21 3'
_space_group_IT_number 199
_space_group_name_Hall 'I 2b 2c 3'
_cell_length_a 9.435
_cell_length_b 9.435
_cell_length_c 9.435
_cell_angle_alpha 90.00
_cell_angle_beta 90.00
_cell_angle_gamma 90.00
loop_
_atom_site_label
_atom_site_fract_x
_atom_site_fract_y
_atom_site_fract_z
Pr1 0.086 0.414 0.586
Dy1 0.214 0.214 0.214
Sc1 0.000 0.250 0.959
```

Calculated values
crystal system	cubic
DFT formation energy	1.5	eV per formula unit
DOS at the Fermi energy	1.48	states/eV/atom


(4)
Computed, not measured: crystalline NaAcHoCd at its relaxed geometry at the PBE level of DFT.

```
data_NaAcHoCd
_space_group_name_H-M_alt 'F -4 3 m'
_space_group_IT_number 216
_space_group_name_Hall 'F -4 2 3'
_cell_length_a 7.981
_cell_length_b 7.981
_cell_length_c 7.981
_cell_angle_alpha 90.00
_cell_angle_beta 90.00
_cell_angle_gamma 90.00
loop_
_atom_site_label
_atom_site_fract_x
_atom_site_fract_y
_atom_site_fract_z
Na1 0.000 0.000 0.000
Ac1 0.250 0.250 0.250
Ho1 0.250 0.250 0.750
Cd1 0.000 0.000 0.500
```

Calculated values
crystal system	cubic
DFT formation energy	0.2	eV per formula unit
DOS at the Fermi energy	1.61	states/eV/atom


(5)
Computed, not measured: crystalline BaSr2RhPb at its relaxed geometry at the PBE level of DFT.

```
data_BaSr2RhPb
_space_group_name_H-M_alt 'P 4/m m m'
_space_group_IT_number 123
_space_group_name_Hall '-P 4 2'
_cell_length_a 5.785
_cell_length_b 5.785
_cell_length_c 5.779
_cell_angle_alpha 90.00
_cell_angle_beta 90.00
_cell_angle_gamma 90.00
loop_
_atom_site_label
_atom_site_fract_x
_atom_site_fract_y
_atom_site_fract_z
Ba1 0.000 0.000 0.000
Sr1 0.000 0.500 0.500
Rh1 0.000 0.000 0.500
Pb1 0.500 0.500 0.000
```

Calculated values
crystal system	tetragonal
DFT formation energy	-1.3	eV per formula unit
DOS at the Fermi energy	0.97	states/eV/atom


(6)
Computed, not measured: crystalline K3Tm2PbO6 at its relaxed geometry at the PBE level of DFT.

```
data_K3Tm2PbO6
_space_group_name_H-M_alt 'C 1 2/m 1'
_space_group_IT_number 12
_space_group_name_Hall '-C 2y'
_cell_length_a 6.031
_cell_length_b 10.443
_cell_length_c 6.585
_cell_angle_alpha 90.00
_cell_angle_beta 107.78
_cell_angle_gamma 90.00
loop_
_atom_site_label
_atom_site_fract_x
_atom_site_fract_y
_atom_site_fract_z
K1 0.000 0.000 0.000
K2 0.000 0.336 0.000
Tm1 0.000 0.167 0.500
Pb1 0.000 0.500 0.500
O1 0.210 0.000 0.690
O2 0.240 0.323 0.690
```

Calculated values
crystal system	monoclinic
raw formation energy	-216.3	kJ per mole of atoms
DOS at the Fermi energy	0.35	states/eV/atom


(7)
Computed, not measured: crystalline Ac2Pr7Dy at its relaxed geometry at the PBE level of DFT.

```
data_Ac2Pr7Dy
_space_group_name_H-M_alt 'C m m m'
_space_group_IT_number 65
_space_group_name_Hall '-C 2 2'
_cell_length_a 6.911
_cell_length_b 30.298
_cell_length_c 3.623
_cell_angle_alpha 90.00
_cell_angle_beta 90.00
_cell_angle_gamma 90.00
loop_
_atom_site_label
_atom_site_fract_x
_atom_site_fract_y
_atom_site_fract_z
Ac1 0.000 0.205 0.000
Pr1 0.000 0.000 0.000
Pr2 0.000 0.316 0.500
Pr3 0.242 0.404 0.000
Dy1 0.000 0.500 0.500
```

Calculated values
crystal system	orthorhombic
DFT formation energy	1.5	eV per formula unit
DOS at the Fermi energy	1.57	states/eV/atom


(8)
Computed, not measured: crystalline PaNb4Si2 at its relaxed geometry at the PBE level of DFT.

```
data_PaNb4Si2
_space_group_name_H-M_alt 'C m m m'
_space_group_IT_number 65
_space_group_name_Hall '-C 2 2'
_cell_length_a 3.615
_cell_length_b 16.632
_cell_length_c 4.331
_cell_angle_alpha 90.00
_cell_angle_beta 90.00
_cell_angle_gamma 90.00
loop_
_atom_site_label
_atom_site_fract_x
_atom_site_fract_y
_atom_site_fract_z
Pa1 0.000 0.000 0.000
Nb1 0.000 0.180 0.500
Nb2 0.000 0.328 0.000
Si1 0.000 0.430 0.500
```

Calculated values
crystal system	orthorhombic
raw formation energy	-37.3	kJ per mole of atoms
DOS at the Fermi energy	0.81	states/eV/atom


(9)
Computed, not measured: crystalline La6SmHg2 at its relaxed geometry at the PBE level of DFT.

```
data_La6SmHg2
_space_group_name_H-M_alt 'C 1 2/m 1'
_space_group_IT_number 12
_space_group_name_Hall '-C 2y'
_cell_length_a 13.187
_cell_length_b 3.887
_cell_length_c 12.379
_cell_angle_alpha 90.00
_cell_angle_beta 108.22
_cell_angle_gamma 90.00
loop_
_atom_site_label
_atom_site_fract_x
_atom_site_fract_y
_atom_site_fract_z
La1 0.024 0.000 0.337
La2 0.183 0.500 0.876
La3 0.191 0.500 0.593
Sm1 0.000 0.000 0.000
Hg1 0.139 0.500 0.192
```

Calculated values
crystal system	monoclinic
DFT formation energy	-2.0	eV per formula unit
DOS at the Fermi energy	1.30	states/eV/atom


(10)
Computed, not measured: crystalline NaZrTlCd at its relaxed geometry at the PBE level of DFT.

```
data_NaZrTlCd
_space_group_name_H-M_alt 'F -4 3 m'
_space_group_IT_number 216
_space_group_name_Hall 'F -4 2 3'
_cell_length_a 7.208
_cell_length_b 7.208
_cell_length_c 7.208
_cell_angle_alpha 90.00
_cell_angle_beta 90.00
_cell_angle_gamma 90.00
loop_
_atom_site_label
_atom_site_fract_x
_atom_site_fract_y
_atom_site_fract_z
Na1 0.000 0.000 0.000
Zr1 0.000 0.000 0.500
Tl1 0.250 0.250 0.750
Cd1 0.250 0.250 0.250
```

Calculated values
crystal system	cubic
DFT formation energy	0.3	eV per formula unit
DOS at the Fermi energy	0.43	states/eV/atom


(11)
Computed, not measured: crystalline ZnCr2NiSn at its relaxed geometry at the PBE level of DFT.

```
data_ZnCr2NiSn
_space_group_name_H-M_alt 'P 4/m m m'
_space_group_IT_number 123
_space_group_name_Hall '-P 4 2'
_cell_length_a 5.127
_cell_length_b 5.127
_cell_length_c 4.671
_cell_angle_alpha 90.00
_cell_angle_beta 90.00
_cell_angle_gamma 90.00
loop_
_atom_site_label
_atom_site_fract_x
_atom_site_fract_y
_atom_site_fract_z
Zn1 0.000 0.000 0.000
Cr1 0.000 0.500 0.500
Ni1 0.500 0.500 0.000
Sn1 0.500 0.500 0.500
```

Calculated values
crystal system	tetragonal
DFT formation energy	6.1	eV per formula unit
DOS at the Fermi energy	0.59	states/eV/atom


(12)
Computed, not measured: crystalline HfTh2Mg at its relaxed geometry at the PBE level of DFT.

```
data_HfTh2Mg
_space_group_name_H-M_alt 'P 4/m m m'
_space_group_IT_number 123
_space_group_name_Hall '-P 4 2'
_cell_length_a 4.839
_cell_length_b 4.839
_cell_length_c 4.711
_cell_angle_alpha 90.00
_cell_angle_beta 90.00
_cell_angle_gamma 90.00
loop_
_atom_site_label
_atom_site_fract_x
_atom_site_fract_y
_atom_site_fract_z
Hf1 0.000 0.000 0.000
Th1 0.000 0.500 0.500
Mg1 0.500 0.500 0.000
```

Calculated values
crystal system	tetragonal
DFT formation energy	0.5	eV per formula unit
DOS at the Fermi energy	1.22	states/eV/atom


(13)
Computed, not measured: crystalline SmTlH at its relaxed geometry at the PBE level of DFT.

```
data_SmTlH
_space_group_name_H-M_alt 'P 4/n m m'
_space_group_IT_number 129
_cell_length_a 4.192
_cell_length_b 4.192
_cell_length_c 7.053
_cell_angle_alpha 90.00
_cell_angle_beta 90.00
_cell_angle_gamma 90.00
loop_
_space_group_symop_operation_xyz
'x,y,z'
'-x,-y,-z'
'-y+1/2,x,z'
'y+1/2,-x,-z'
'-x+1/2,-y+1/2,z'
'x+1/2,y+1/2,-z'
'y,-x+1/2,z'
'-y,x+1/2,-z'
'x+1/2,-y,-z'
'-x+1/2,y,z'
'-y,-x,-z'
'y,x,z'
'-x,y+1/2,-z'
'x,-y+1/2,z'
'y+1/2,x+1/2,-z'
'-y+1/2,-x+1/2,z'
loop_
_atom_site_label
_atom_site_fract_x
_atom_site_fract_y
_atom_site_fract_z
Sm1 0.250 0.250 0.139
Tl1 0.250 0.250 0.604
H1 0.250 0.750 0.000
```

Calculated values
crystal system	tetragonal
DOS at the Fermi energy	0.72	states/eV/atom
total energy	-23.23	eV for the cell shown